(1)
First-principles (PBE) data for a relaxed BiPtI3 crystal, as listed in the Alexandria database.

As for the energy relative to the elements, uncorrected: 77.2 kJ per mole of atoms. Its space group is Pm-3m, No. 221. Its energy above the lowest structure with this stoichiometry is 13.943 kcal/mol of atoms. The value obtained for the volume is 229.3 Å³ per cell.

a = 6.1204 Å, b = 6.1204 Å, c = 6.1204 Å
α = 90.00°, β = 90.00°, γ = 90.00°
Last column: magnetic moment on the atom in μB.
Fractional positions:
I  0.0000  0.5000  0.0000  0.04
I  0.0000  0.0000  0.5000  0.02
Pt  0.5000  0.5000  0.5000  1.28
Bi  0.0000  0.0000  0.0000  0.05
I  0.5000  0.0000  0.0000  0.04

=====

(2)
First-principles (PBE) data for a relaxed BiPt3I crystal, as listed in the Alexandria database.

As for the energy relative to the elements, uncorrected: 108.5 kJ per mole of atoms. Its space group is Pm-3m, No. 221. Its energy above the lowest structure with this stoichiometry is 4.397 kcal/mol of atoms. The value obtained for the volume is 138.4 Å³ per cell.

a = 5.1730 Å, b = 5.1730 Å, c = 5.1730 Å
α = 90.00°, β = 90.00°, γ = 90.00°
Fractional positions:
Pt  0.0000  0.0000  0.5000
I  0.5000  0.5000  0.5000
Pt  0.5000  0.0000  0.0000
Pt  0.0000  0.5000  0.0000
Bi  0.0000  0.0000  0.0000

=====

(3)
First-principles (PBE) data for a relaxed Bi2PtI crystal, as listed in the Alexandria database.

As for the energy relative to the elements, uncorrected: 5.6 kJ per mole of atoms. Its space group is I-42d, No. 122. Its energy above the lowest structure with this stoichiometry is 8.017 kcal/mol of atoms. The value obtained for the volume is 309.3 Å³ per cell.

a = 7.3703 Å, b = 7.3703 Å, c = 7.7188 Å
α = 61.48°, β = 61.48°, γ = 90.00°
Fractional positions:
Bi  0.8750  0.9522  0.7500
Bi  0.3750  0.2978  0.7500
Bi  0.7022  0.1250  0.2500
I  0.5000  0.5000  0.0000
Pt  0.7500  0.2500  0.5000
Pt  0.0000  0.0000  0.0000
Bi  0.0478  0.6250  0.2500
I  0.2500  0.7500  0.5000

=====

(4)
First-principles (PBE) data for a relaxed BiPt3I crystal, as listed in the Alexandria database.

As for the energy relative to the elements, uncorrected: 90.1 kJ per mole of atoms. Its space group is Pm-3m, No. 221. Its energy above the lowest structure with this stoichiometry is 0.000 kcal/mol of atoms. The value obtained for the volume is 127.1 Å³ per cell.

a = 5.0282 Å, b = 5.0282 Å, c = 5.0282 Å
α = 90.00°, β = 90.00°, γ = 90.00°
Fractional positions:
Pt  0.5000  0.0000  0.0000
Pt  0.0000  0.5000  0.0000
Pt  0.0000  0.0000  0.5000
Bi  0.5000  0.5000  0.5000
I  0.0000  0.0000  0.0000

=====

(5)
First-principles (PBE) data for a relaxed Bi3PtI crystal, as listed in the Alexandria database.

As for the energy relative to the elements, uncorrected: -19.0 kJ per mole of atoms. Its space group is C2/c, No. 15. Its energy above the lowest structure with this stoichiometry is 0.000 kcal/mol of atoms. The value obtained for the volume is 657.3 Å³ per cell.

a = 6.7902 Å, b = 10.1394 Å, c = 10.1394 Å
α = 109.24°, β = 87.54°, γ = 87.54°
Fractional positions:
I  0.9841  0.7222  0.5399
Bi  0.0798  0.7627  0.9027
I  0.5159  0.4601  0.2778
Bi  0.8799  0.9660  0.2794
Bi  0.4202  0.0973  0.2373
Bi  0.9202  0.2373  0.0973
I  0.4841  0.5399  0.7222
Pt  0.2500  0.8393  0.1607
Bi  0.6201  0.7206  0.0340
Bi  0.5798  0.9027  0.7627
Bi  0.1201  0.0340  0.7206
Bi  0.9888  0.3844  0.8372
Bi  0.5112  0.1628  0.6156
Pt  0.2500  0.0223  0.9777
I  0.0159  0.2778  0.4601
Pt  0.7500  0.9777  0.0223
Bi  0.4888  0.8372  0.3844
Bi  0.3799  0.2794  0.9660
Pt  0.7500  0.1607  0.8393
Bi  0.0112  0.6156  0.1628

=====

(6)
First-principles (PBE) data for a relaxed Bi4PtI crystal, as listed in the Alexandria database.

As for the energy relative to the elements, uncorrected: -11.5 kJ per mole of atoms. Its space group is C2/m, No. 12. The value obtained for the volume is 460.6 Å³ per cell.

a = 7.2512 Å, b = 8.9791 Å, c = 8.3867 Å
α = 122.37°, β = 92.61°, γ = 90.00°
Fractional positions:
Pt  0.7022  0.5047  0.0094
Bi  0.0000  0.7026  0.0000
Bi  0.0000  0.2974  0.0000
Bi  0.4807  0.1874  0.7554
Bi  0.4807  0.5680  0.7554
Bi  0.5193  0.8126  0.2446
I  0.7935  0.8636  0.7272
Pt  0.2978  0.4953  0.9906
I  0.2065  0.1364  0.2728
Bi  0.1607  0.6802  0.3604
Bi  0.5193  0.4320  0.2446
Bi  0.8393  0.3198  0.6396